TaVF3 GGA+U relaxed; energy relative to the lowest polymorph listed for this composition = 0.0 meV/atom
1.0
4.295 0.000 0.000
0.000 4.295 0.000
0.000 0.000 4.295
V Ta F
1 1 3
Direct
0.500 0.500 0.500
0.000 0.000 0.000
0.000 0.500 0.000
0.000 0.000 0.500
0.500 0.000 0.000